Entry 1:
10
Lattice="-0.7887 -2.8658 2.8411 2.2602 -2.7120 -2.1081 8.0096 2.7727 5.0204" Properties=species:S:1:pos:R:3 comment="Np2MnSi4Ir3 (GGA-PBE, optimized geometry)" dft_energy_ev_per_atom=-8.96 magmom_total_mub_per_atom=0.55 raw_formation_energy_mev_per_atom=-628 pbc="T T T"
Ir 4.0048 1.3864 2.5102
Ir 2.1618 -0.9988 -0.4073
Ir 6.5835 0.9826 5.7943
Np 1.6246 -0.7340 2.6861
Np 7.1207 0.7178 2.7009
Si 4.6499 0.3133 4.5823
Si 0.7357 -2.7889 0.3665
Si 0.0000 0.0000 0.0000
Si 4.0954 -0.3295 0.8046
Mn 4.7405 -1.4025 2.8767

***

Entry 2:
12
Lattice="3.4409 0.0000 0.0000 0.0000 6.6670 0.0000 0.0000 0.0000 18.3016" Properties=species:S:1:pos:R:3 comment="Tb2PmPrNd2 (GGA-PBE, optimized geometry)" dft_energy_ev_per_atom=-4.47 magmom_total_mub_per_atom=0.00 ef_ev_per_atom=0.253 pbc="T T T"
Nd 0.0000 5.1869 14.8797
Nd 1.7204 4.8136 5.7289
Nd 0.0000 1.4801 3.4218
Nd 1.7204 1.8534 12.5726
Pm 1.7204 3.3335 0.0000
Pm 0.0000 0.0000 9.1508
Tb 0.0000 4.7944 2.7047
Tb 1.7204 1.4609 6.4461
Tb 1.7204 5.2061 11.8555
Tb 0.0000 1.8726 15.5969
Pr 1.7204 3.3335 9.1508
Pr 0.0000 0.0000 0.0000